[1]
BeCu | PBE-GGA | relaxed

abc: 3.501 3.501 4.299
angles: 90.00 90.00 120.00
Fractional positions:
Be1 0.000 0.000 0.000
Be2 0.000 0.000 0.500
Cu1 0.333 0.667 0.250
Cu2 0.667 0.333 0.750

Output
D(E_F)   1.5 states/eV per cell
Space group   P6_3/mmc
E_form   8.29 kcal/mol of atoms
Magnetization   0.0 μB/f.u.

[2]
Be2Cu | PBE-GGA | relaxed

abc: 2.392 2.392 18.918
angles: 90.00 90.00 120.00
Fractional positions:
Be1 0.000 0.000 0.062
Be2 0.000 0.000 0.938
Be3 0.333 0.667 0.600
Be4 0.333 0.667 0.721
Be5 0.667 0.333 0.279
Be6 0.667 0.333 0.400
Cu1 0.000 0.000 0.500
Cu2 0.333 0.667 0.838
Cu3 0.667 0.333 0.162

Output
D(E_F)   4.2 states/eV per cell
Space group   P-3m1
E_form   8.42 kcal/mol of atoms
Magnetization   0.0 μB/f.u.

[3]
Be3Cu | PBE-GGA | relaxed

abc: 2.441 3.697 4.000
angles: 90.00 90.00 90.00
Fractional positions:
Be1 0.000 0.000 0.000
Be2 0.000 0.500 0.344
Be3 0.500 0.000 0.482
Cu1 0.500 0.500 0.841

Output
D(E_F)   0.6 states/eV per cell
Space group   Pmm2
E_form   -0.64 kcal/mol of atoms
Magnetization   0.0 μB/f.u.

[4]
BeCu | PBE-GGA | relaxed

abc: 4.499 4.499 3.829
angles: 90.00 90.00 120.00
Fractional positions:
Be1 0.000 0.500 0.000
Be2 0.500 0.000 0.000
Be3 0.500 0.500 0.000
Cu1 0.000 0.000 0.000
Cu2 0.333 0.667 0.500
Cu3 0.667 0.333 0.500

Output
D(E_F)   2.3 states/eV per cell
Space group   P6/mmm
E_form   3.04 kcal/mol of atoms
Magnetization   0.0 μB/f.u.

[5]
Be3Cu5 | PBE-GGA | relaxed

abc: 6.498 6.498 6.498
angles: 96.79 96.79 139.78
Fractional positions:
Be1 0.165 0.665 0.831
Be2 0.250 0.250 0.000
Be3 0.335 0.165 0.500
Be4 0.665 0.835 0.500
Be5 0.750 0.750 0.000
Be6 0.835 0.335 0.169
Cu1 0.077 0.219 0.296
Cu2 0.219 0.923 0.141
Cu3 0.250 0.750 0.500
Cu4 0.281 0.423 0.704
Cu5 0.423 0.719 0.141
Cu6 0.577 0.281 0.859
Cu7 0.719 0.577 0.296
Cu8 0.750 0.250 0.500
Cu9 0.781 0.077 0.859
Cu10 0.923 0.781 0.704

Output
D(E_F)   5.5 states/eV per cell
Space group   I4/mcm
E_form   -0.65 kcal/mol of atoms
Magnetization   0.0 μB/f.u.

[6]
Be2Cu | PBE-GGA | relaxed

abc: 3.783 3.783 4.516
angles: 90.00 90.00 120.00
Fractional positions:
Be1 0.000 0.000 0.000
Be2 0.000 0.000 0.500
Be3 0.333 0.667 0.250
Be4 0.667 0.333 0.750
Cu1 0.333 0.667 0.750
Cu2 0.667 0.333 0.250

Output
D(E_F)   2.9 states/eV per cell
Space group   P6_3/mmc
E_form   -0.41 kcal/mol of atoms
Magnetization   0.0 μB/f.u.

[7]
BeCu | PBE-GGA | relaxed

abc: 3.502 3.502 3.502
angles: 60.00 60.00 60.00
Fractional positions:
Be1 0.000 0.000 0.000
Cu1 0.250 0.250 0.250

Output
D(E_F)   1.2 states/eV per cell
Space group   F-43m
E_form   23.50 kcal/mol of atoms
Magnetization   0.0 μB/f.u.

[8]
Be2Cu | PBE-GGA | relaxed

abc: 3.645 3.645 3.645
angles: 60.00 60.00 60.00
Fractional positions:
Be1 0.250 0.250 0.250
Be2 0.750 0.750 0.750
Cu1 0.000 0.000 0.000

Output
D(E_F)   0.6 states/eV per cell
Space group   Fm-3m
E_form   9.32 kcal/mol of atoms
Magnetization   0.0 μB/f.u.

[9]
BeCu | PBE-GGA | relaxed

abc: 2.693 2.693 2.693
angles: 90.00 90.00 90.00
Fractional positions:
Be1 0.000 0.000 0.000
Cu1 0.500 0.500 0.500

Output
D(E_F)   1.0 states/eV per cell
Space group   Pm-3m
E_form   -2.46 kcal/mol of atoms
Magnetization   0.0 μB/f.u.

[10]
Be3Cu | PBE-GGA | relaxed

abc: 7.632 7.632 7.632
angles: 17.98 17.98 17.98
Fractional positions:
Be1 0.000 0.000 0.000
Be2 0.253 0.253 0.253
Be3 0.747 0.747 0.747
Cu1 0.500 0.500 0.500

Output
D(E_F)   1.2 states/eV per cell
Space group   R-3m
E_form   2.26 kcal/mol of atoms
Magnetization   0.0 μB/f.u.

[11]
Be2Cu | PBE-GGA | relaxed

abc: 4.228 4.228 4.228
angles: 142.81 142.81 53.60
Fractional positions:
Be1 0.174 0.174 0.000
Be2 0.826 0.826 0.000
Cu1 0.500 0.500 0.000

Output
D(E_F)   0.4 states/eV per cell
Space group   I4/mmm
E_form   -1.75 kcal/mol of atoms
Magnetization   0.0 μB/f.u.

[12]
BeCu | PBE-GGA | relaxed

abc: 6.815 6.815 3.756
angles: 90.00 90.00 90.00
Fractional positions:
Be1 0.055 0.245 0.000
Be2 0.110 0.787 0.500
Be3 0.213 0.110 0.500
Be4 0.245 0.945 0.000
Be5 0.755 0.055 0.000
Be6 0.787 0.890 0.500
Be7 0.890 0.213 0.500
Be8 0.945 0.755 0.000
Cu1 0.161 0.422 0.500
Cu2 0.265 0.625 0.000
Cu3 0.375 0.265 0.000
Cu4 0.422 0.839 0.500
Cu5 0.578 0.161 0.500
Cu6 0.625 0.735 0.000
Cu7 0.735 0.375 0.000
Cu8 0.839 0.578 0.500

Output
D(E_F)   5.1 states/eV per cell
Space group   P4/m
E_form   3.24 kcal/mol of atoms
Magnetization   0.0 μB/f.u.

[13]
BeCu | PBE-GGA | relaxed

abc: 4.803 4.803 3.647
angles: 90.00 90.00 120.00
Fractional positions:
Be1 0.000 0.000 0.000
Be2 0.333 0.667 0.500
Be3 0.667 0.333 0.500
Cu1 0.000 0.500 0.000
Cu2 0.500 0.000 0.000
Cu3 0.500 0.500 0.000

Output
D(E_F)   1.7 states/eV per cell
Space group   P6/mmm
E_form   6.56 kcal/mol of atoms
Magnetization   0.0 μB/f.u.

[14]
Be3Cu | PBE-GGA | relaxed

abc: 2.589 2.589 5.267
angles: 90.00 90.00 90.00
Fractional positions:
Be1 0.000 0.000 0.000
Be2 0.500 0.500 0.231
Be3 0.500 0.500 0.769
Cu1 0.000 0.000 0.500

Output
D(E_F)   0.8 states/eV per cell
Space group   P4/mmm
E_form   -0.88 kcal/mol of atoms
Magnetization   0.0 μB/f.u.

[15]
Be2Cu3 | PBE-GGA | relaxed

abc: 6.157 4.653 7.059
angles: 59.27 40.51 80.23
Fractional positions:
Be1 0.020 0.480 0.076
Be2 0.174 0.826 0.230
Be3 0.480 0.020 0.424
Be4 0.826 0.174 0.770
Cu1 0.049 0.049 0.951
Cu2 0.299 0.299 0.201
Cu3 0.483 0.598 0.310
Cu4 0.598 0.483 0.609
Cu5 0.641 0.940 0.652
Cu6 0.940 0.641 0.767

Output
D(E_F)   1.4 states/eV per cell
Space group   Fdd2
E_form   -0.88 kcal/mol of atoms
Magnetization   0.0 μB/f.u.

[16]
Be4Cu5 | PBE-GGA | relaxed

abc: 5.382 5.382 5.382
angles: 96.48 96.48 140.75
Fractional positions:
Be1 0.000 0.343 0.343
Be2 0.000 0.657 0.657
Be3 0.343 0.000 0.343
Be4 0.657 0.000 0.657
Cu1 0.000 0.000 0.000
Cu2 0.328 0.328 0.656
Cu3 0.328 0.672 0.000
Cu4 0.672 0.328 0.000
Cu5 0.672 0.672 0.344

Output
D(E_F)   3.2 states/eV per cell
Space group   I4/mmm
E_form   0.21 kcal/mol of atoms
Magnetization   0.0 μB/f.u.

[17]
BeCu | PBE-GGA | relaxed

abc: 4.531 4.531 3.663
angles: 90.00 90.00 148.26
Fractional positions:
Be1 0.068 0.932 0.750
Be2 0.932 0.068 0.250
Cu1 0.336 0.664 0.750
Cu2 0.664 0.336 0.250

Output
D(E_F)   0.8 states/eV per cell
Space group   Cmcm
E_form   -1.47 kcal/mol of atoms
Magnetization   0.0 μB/f.u.

[18]
BeCu | PBE-GGA | relaxed

abc: 2.514 3.968 4.045
angles: 90.00 90.00 90.00
Fractional positions:
Be1 0.250 0.250 0.078
Be2 0.750 0.750 0.922
Cu1 0.250 0.750 0.403
Cu2 0.750 0.250 0.597

Output
D(E_F)   1.0 states/eV per cell
Space group   Pmmn
E_form   -0.10 kcal/mol of atoms
Magnetization   0.0 μB/f.u.

[19]
BeCu | PBE-GGA | relaxed

abc: 4.249 4.249 4.249
angles: 90.00 90.00 90.00
Fractional positions:
Be1 0.000 0.000 0.500
Be2 0.000 0.500 0.000
Be3 0.500 0.000 0.000
Cu1 0.000 0.500 0.500
Cu2 0.500 0.000 0.500
Cu3 0.500 0.500 0.000

Output
D(E_F)   1.1 states/eV per cell
Space group   Pm-3m
E_form   14.52 kcal/mol of atoms
Magnetization   0.0 μB/f.u.

[20]
BeCu | PBE-GGA | relaxed

abc: 4.674 4.674 3.808
angles: 90.00 90.00 150.29
Fractional positions:
Be1 0.173 0.827 0.750
Be2 0.827 0.173 0.250
Cu1 0.421 0.579 0.750
Cu2 0.579 0.421 0.250

Output
D(E_F)   1.9 states/eV per cell
Space group   Cmcm
E_form   1.39 kcal/mol of atoms
Magnetization   0.0 μB/f.u.